1.
Compound: NaSrInPb
Source: Alexandria
Functional: PBE
Structure: relaxed

Unit cell a=7.936 b=7.936 c=7.936 alpha=90.00 beta=90.00 gamma=90.00
Space group F-43m (No. 216)
Asymmetric unit:
Na 0.000 0.000 0.000 (multiplicity 4)
Sr 0.000 0.000 0.500 (multiplicity 4)
In 0.250 0.250 0.750 (multiplicity 4)
Pb 0.250 0.250 0.250 (multiplicity 4)

Results
The calculation puts the volume at 125 Å³/f.u. The calculation puts the formation energy at -1.24 eV/f.u. The calculation puts the energy above the most stable polymorph in this dataset at 0.000 eV per atom. Its density of states at the Fermi level is 3.34 states/eV/cell. For the calculated total energy, the calculation gives -2.67 eV per atom.



2.
Compound: KIN2
Source: Alexandria
Functional: PBE
Structure: relaxed

Unit cell a=3.4910 b=3.4910 c=22.3697 alpha=90.00 beta=90.00 gamma=120.00
Space group R-3m (No. 166, hexagonal axes)
Asymmetric unit:
K 0.0000 0.0000 0.0000 (multiplicity 3)
I 0.0000 0.0000 0.5000 (multiplicity 3)
N 0.0000 0.0000 0.1144 (multiplicity 6)

Results
The calculation puts the volume at 79 Å³/f.u. For the formation energy without anion corrections, the calculation gives 1.454 eV/atom. The calculation puts the energy above the most stable polymorph in this dataset at 2.154 eV per atom. Its density of states at the Fermi level is 4.52 states/eV/cell. For the calculated total energy, the calculation gives -3.37 eV per atom.



3.
Compound: CaScCu2
Source: Alexandria
Functional: PBE
Structure: relaxed

Unit cell a=7.368 b=7.368 c=6.596 alpha=90.00 beta=90.00 gamma=90.00
Space group I-42d (No. 122)
Asymmetric unit:
Ca 0.000 0.000 0.000 (multiplicity 4)
Sc 0.000 0.000 0.500 (multiplicity 4)
Cu 0.221 0.250 0.625 (multiplicity 8)

Results
The calculation puts the volume at 90 Å³/f.u. The calculation puts the formation energy at 1.01 eV/f.u. The calculation puts the energy above the most stable polymorph in this dataset at 0.426 eV per atom. Its density of states at the Fermi level is 10.19 states/eV/cell. For the calculated total energy, the calculation gives -3.88 eV per atom.



4.
Compound: NaNdTlBi
Source: Alexandria
Functional: PBE
Structure: relaxed

Unit cell a=7.829 b=7.829 c=7.829 alpha=90.00 beta=90.00 gamma=90.00
Space group F-43m (No. 216)
Asymmetric unit:
Na 0.000 0.000 0.000 (multiplicity 4)
Nd 0.000 0.000 0.500 (multiplicity 4)
Tl 0.250 0.250 0.250 (multiplicity 4)
Bi 0.250 0.250 0.750 (multiplicity 4)

Results
The calculation puts the volume at 120 Å³/f.u. The calculation puts the formation energy at -1.34 eV/f.u. Its density of states at the Fermi level is 11.68 states/eV/cell. For the calculated total energy, the calculation gives -3.42 eV per atom.